(1)
DFT (GGA-PBE) results for an optimized crystal structure of YCdNi3.

Cell: 4.660 4.660 4.660 Å, 90.00 90.00 90.00°
Space group Pm-3m (No. 221)
Symmetry-distinct sites (fractional):
1 Y 0.000 0.000 0.000 (multiplicity 1)
2 Cd 0.500 0.500 0.500 (multiplicity 1)
3 Ni 0.000 0.500 0.500 (multiplicity 3)

- energy of formation (kJ/mol of atoms) = 60.3
- distance to the lowest polymorph of the same formula (eV/atom) = 0.000

***

(2)
DFT (GGA-PBE) results for an optimized crystal structure of Y5CdNi.

Cell: 11.020 6.822 11.349 Å, 90.00 110.51 90.00°
Space group C2/c (No. 15)
Symmetry-distinct sites (fractional):
1 Y 0.000 0.001 0.250 (multiplicity 4)
2 Y 0.124 0.328 0.546 (multiplicity 8)
3 Y 0.225 0.176 0.137 (multiplicity 8)
4 Cd 0.000 0.472 0.250 (multiplicity 4)
5 Ni 0.000 0.000 0.000 (multiplicity 4)

- energy of formation (kJ/mol of atoms) = -6.9

***

Number 1: density of states at the Fermi level 5.2 states/eV/cell, DFT total energy -4.3201 eV/atom. Number 2: density of states at the Fermi level 33.3 states/eV/cell, DFT total energy -5.6454 eV/atom.